## one
NbCuPd3 | the Alexandria database | PBE | relaxed; SG = Pm-3m; D(E_F) = 5.98 states/eV/f.u.
1.0
4.5300 0.0000 0.0000
0.0000 4.5300 0.0000
0.0000 0.0000 4.5300
Nb Cu Pd
1 1 3
Direct
0.0000 0.0000 0.0000
0.5000 0.5000 0.5000
0.0000 0.5000 0.5000
0.5000 0.0000 0.5000
0.5000 0.5000 0.0000

***

## two
NbCuPd3 | the Alexandria database | PBE | relaxed; SG = Pm-3m; D(E_F) = 4.37 states/eV/f.u.
1.0
4.8237 0.0000 0.0000
0.0000 4.8237 0.0000
0.0000 0.0000 4.8237
Nb Cu Pd
1 1 3
Direct
0.0000 0.0000 0.0000
0.5000 0.5000 0.5000
0.0000 0.0000 0.5000
0.0000 0.5000 0.0000
0.5000 0.0000 0.0000

***

The structure with the most favorable energy is one; the runner-up is 28.0 kJ/mol of atoms above it.